a) Below is a relaxed structure of Dy2Y5Tm3, with properties calculated at the PBE level.

Cell lengths 11.5453, 11.5453, 11.5453 Å; angles 129.81, 61.84, 146.28 degrees
Element x y z (fractional)
Dy (0.0554, 0.2500, 0.3054)
Dy (0.4446, 0.7500, 0.1946)
Dy (0.5554, 0.2500, 0.8054)
Dy (0.9446, 0.7500, 0.6946)
Y (0.0831, 0.7500, 0.3331)
Y (0.2089, 0.1694, 0.3784)
Y (0.2500, 0.2500, 0.0000)
Y (0.2911, 0.6694, 0.9605)
Y (0.4169, 0.7500, 0.6669)
Y (0.5831, 0.2500, 0.3331)
Y (0.7089, 0.3306, 0.0395)
Y (0.7500, 0.7500, 0.0000)
Y (0.7911, 0.8306, 0.6216)
Y (0.9169, 0.2500, 0.6669)
Tm (0.1255, 0.8143, 0.9398)
Tm (0.2500, 0.7500, 0.5000)
Tm (0.3745, 0.3143, 0.6889)
Tm (0.6255, 0.6857, 0.3111)
Tm (0.7500, 0.2500, 0.5000)
Tm (0.8745, 0.1857, 0.0602)

Output
DOS(E_F) = 16.5 states/eV/f.u.
Symmetry = Ibam (72)
Spin magnetization = 0.05 μB/atom

***

b) Below is a relaxed structure of Dy2Y5Tm3, with properties calculated at the PBE level.

Cell lengths 9.5560, 9.5560, 9.3684 Å; angles 108.46, 108.46, 112.17 degrees
Element x y z (fractional)
Dy (0.0240, 0.2634, 0.0452)
Dy (0.2634, 0.0240, 0.5452)
Dy (0.7366, 0.9760, 0.4548)
Dy (0.9760, 0.7366, 0.9548)
Y (0.1451, 0.3686, 0.7625)
Y (0.2311, 0.7689, 0.7500)
Y (0.2708, 0.7292, 0.2500)
Y (0.3686, 0.1451, 0.2625)
Y (0.4698, 0.5302, 0.2500)
Y (0.5302, 0.4698, 0.7500)
Y (0.6314, 0.8549, 0.7375)
Y (0.7292, 0.2708, 0.7500)
Y (0.7689, 0.2311, 0.2500)
Y (0.8549, 0.6314, 0.2375)
Tm (0.0294, 0.9706, 0.7500)
Tm (0.2278, 0.4656, 0.4517)
Tm (0.4656, 0.2278, 0.9517)
Tm (0.5344, 0.7722, 0.0483)
Tm (0.7722, 0.5344, 0.5483)
Tm (0.9706, 0.0294, 0.2500)

Output
DOS(E_F) = 17.7 states/eV/f.u.
Symmetry = C2/c (15)
Spin magnetization = 0.00 μB/atom

***

Stability, highest: b)

***

a) Below is a relaxed structure of Dy6YTm8, with properties calculated at the PBE level.

Cell lengths 8.5478, 8.5478, 8.5478 Å; angles 63.12, 63.12, 63.12 degrees
Element x y z (fractional)
Dy (0.0401, 0.6131, 0.7215)
Dy (0.2785, 0.9599, 0.3869)
Dy (0.3869, 0.2785, 0.9599)
Dy (0.6131, 0.7215, 0.0401)
Dy (0.7215, 0.0401, 0.6131)
Dy (0.9599, 0.3869, 0.2785)
Y (0.5000, 0.5000, 0.5000)
Tm (0.0763, 0.0763, 0.0763)
Tm (0.2215, 0.6094, 0.2413)
Tm (0.2413, 0.2215, 0.6094)
Tm (0.3906, 0.7587, 0.7785)
Tm (0.6094, 0.2413, 0.2215)
Tm (0.7587, 0.7785, 0.3906)
Tm (0.7785, 0.3906, 0.7587)
Tm (0.9237, 0.9237, 0.9237)

Output
DOS(E_F) = 22.4 states/eV/f.u.
Symmetry = R-3 (148)
Spin magnetization = 0.00 μB/atom

***

b) Below is a relaxed structure of Dy6YTm8, with properties calculated at the PBE level.

Cell lengths 9.3394, 9.3394, 6.4121 Å; angles 90.00, 90.00, 120.00 degrees
Element x y z (fractional)
Dy (0.0987, 0.6814, 0.0894)
Dy (0.3186, 0.4173, 0.0894)
Dy (0.4173, 0.0987, 0.9106)
Dy (0.5827, 0.9013, 0.0894)
Dy (0.6814, 0.5827, 0.9106)
Dy (0.9013, 0.3186, 0.9106)
Y (0.0000, 0.0000, 0.0000)
Tm (0.0231, 0.3358, 0.4051)
Tm (0.3127, 0.9769, 0.4051)
Tm (0.3333, 0.6667, 0.6561)
Tm (0.3358, 0.3127, 0.5949)
Tm (0.6642, 0.6873, 0.4051)
Tm (0.6667, 0.3333, 0.3439)
Tm (0.6873, 0.0231, 0.5949)
Tm (0.9769, 0.6642, 0.5949)

Output
DOS(E_F) = 22.3 states/eV/f.u.
Symmetry = P-3 (147)
Spin magnetization = 0.00 μB/atom

***

Stability, highest: a)

***

a) Below is a relaxed structure of Dy5Y2Tm2, with properties calculated at the PBE level.

Cell lengths 10.2506, 10.2506, 10.2506 Å; angles 86.80, 103.50, 145.33 degrees
Element x y z (fractional)
Dy (0.1317, 0.4627, 0.9543)
Dy (0.1317, 0.6774, 0.1690)
Dy (0.2044, 0.0490, 0.2534)
Dy (0.2044, 0.4510, 0.6554)
Dy (0.5084, 0.1774, 0.0457)
Dy (0.5084, 0.9627, 0.8310)
Dy (0.5518, 0.4871, 0.5648)
Dy (0.7956, 0.5490, 0.3446)
Dy (0.7956, 0.9510, 0.7466)
Dy (0.9223, 0.9871, 0.4352)
Y (0.7838, 0.1963, 0.3210)
Y (0.7838, 0.9628, 0.0875)
Y (0.8754, 0.4628, 0.6790)
Y (0.8754, 0.6963, 0.9125)
Tm (0.2282, 0.0284, 0.6998)
Tm (0.3285, 0.5284, 0.3002)
Tm (0.3825, 0.3825, 0.0000)
Tm (0.3825, 0.8825, 0.5000)

Output
DOS(E_F) = 13.6 states/eV/f.u.
Symmetry = Ima2 (46)
Spin magnetization = 0.00 μB/atom

***

b) Below is a relaxed structure of Dy5Y2Tm2, with properties calculated at the PBE level.

Cell lengths 8.6436, 8.6436, 6.3281 Å; angles 104.76, 104.76, 38.77 degrees
Element x y z (fractional)
Dy (0.0000, 0.0000, 0.0000)
Dy (0.2087, 0.2087, 0.0673)
Dy (0.3210, 0.3210, 0.6410)
Dy (0.6790, 0.6790, 0.3590)
Dy (0.7913, 0.7913, 0.9327)
Y (0.4375, 0.4375, 0.2155)
Y (0.5625, 0.5625, 0.7845)
Tm (0.1014, 0.1014, 0.5190)
Tm (0.8986, 0.8986, 0.4810)

Output
DOS(E_F) = 19.4 states/eV/f.u.
Symmetry = C2/m (12)
Spin magnetization = 0.00 μB/atom

***

Stability, highest: b)

***

a) Below is a relaxed structure of DyY2Tm9, with properties calculated at the PBE level.

Cell lengths 11.0906, 11.0906, 3.4591 Å; angles 90.00, 90.00, 120.00 degrees
Element x y z (fractional)
Dy (0.0000, 0.0000, 0.0000)
Y (0.3333, 0.6667, 0.0000)
Y (0.6667, 0.3333, 0.0000)
Tm (0.0000, 0.5000, 0.0000)
Tm (0.1761, 0.3523, 0.5000)
Tm (0.1761, 0.8239, 0.5000)
Tm (0.3523, 0.1761, 0.5000)
Tm (0.5000, 0.0000, 0.0000)
Tm (0.5000, 0.5000, 0.0000)
Tm (0.6477, 0.8239, 0.5000)
Tm (0.8239, 0.1761, 0.5000)
Tm (0.8239, 0.6477, 0.5000)

Output
DOS(E_F) = 20.0 states/eV/f.u.
Symmetry = P6/mmm (191)
Spin magnetization = 0.00 μB/atom

***

b) Below is a relaxed structure of DyY2Tm9, with properties calculated at the PBE level.

Cell lengths 4.9598, 4.9598, 14.8750 Å; angles 90.00, 90.00, 90.00 degrees
Element x y z (fractional)
Dy (0.0000, 0.0000, 0.0000)
Y (0.0000, 0.0000, 0.3330)
Y (0.0000, 0.0000, 0.6670)
Tm (0.0000, 0.5000, 0.1658)
Tm (0.0000, 0.5000, 0.5000)
Tm (0.0000, 0.5000, 0.8342)
Tm (0.5000, 0.0000, 0.1658)
Tm (0.5000, 0.0000, 0.5000)
Tm (0.5000, 0.0000, 0.8342)
Tm (0.5000, 0.5000, 0.0000)
Tm (0.5000, 0.5000, 0.3330)
Tm (0.5000, 0.5000, 0.6670)

Output
DOS(E_F) = 17.7 states/eV/f.u.
Symmetry = P4/mmm (123)
Spin magnetization = 0.00 μB/atom

***

Stability, highest: b)

***

a) Below is a relaxed structure of DyY3Tm6, with properties calculated at the PBE level.

Cell lengths 6.8213, 6.8213, 6.8213 Å; angles 90.98, 90.98, 90.98 degrees
Element x y z (fractional)
Dy (0.0000, 0.0000, 0.0000)
Y (0.2408, 0.2408, 0.2408)
Y (0.4998, 0.4998, 0.4998)
Y (0.7415, 0.7415, 0.7415)
Tm (0.0366, 0.3605, 0.6914)
Tm (0.1908, 0.8628, 0.5378)
Tm (0.3605, 0.6914, 0.0366)
Tm (0.5378, 0.1908, 0.8628)
Tm (0.6914, 0.0366, 0.3605)
Tm (0.8628, 0.5378, 0.1908)

Output
DOS(E_F) = 18.2 states/eV/f.u.
Symmetry = R3 (146)
Spin magnetization = 0.00 μB/atom

***

b) Below is a relaxed structure of DyY3Tm6, with properties calculated at the PBE level.

Cell lengths 10.8814, 10.8814, 6.1081 Å; angles 90.00, 90.00, 119.57 degrees
Element x y z (fractional)
Dy (0.2096, 0.7904, 0.5000)
Dy (0.7904, 0.2096, 0.0000)
Y (0.0632, 0.2794, 0.3049)
Y (0.2794, 0.0632, 0.8049)
Y (0.3915, 0.6085, 0.4136)
Y (0.6085, 0.3915, 0.9136)
Y (0.7206, 0.9368, 0.3049)
Y (0.9368, 0.7206, 0.8049)
Tm (0.0363, 0.4589, 0.7105)
Tm (0.0489, 0.9511, 0.2742)
Tm (0.2848, 0.7152, 0.9850)
Tm (0.2876, 0.3838, 0.8744)
Tm (0.3838, 0.2876, 0.3744)
Tm (0.4589, 0.0363, 0.2105)
Tm (0.5411, 0.9637, 0.7105)
Tm (0.6162, 0.7124, 0.8744)
Tm (0.7124, 0.6162, 0.3744)
Tm (0.7152, 0.2848, 0.4850)
Tm (0.9511, 0.0489, 0.7742)
Tm (0.9637, 0.5411, 0.2105)

Output
DOS(E_F) = 14.9 states/eV/f.u.
Symmetry = Cmc2_1 (36)
Spin magnetization = 0.00 μB/atom

***

Stability, highest: b)

***

a) Below is a relaxed structure of Dy2Y2Tm3, with properties calculated at the PBE level.

Cell lengths 8.3345, 8.3345, 8.3345 Å; angles 109.47, 109.47, 109.47 degrees
Element x y z (fractional)
Dy (0.0000, 0.4136, 0.5000)
Dy (0.0864, 0.0864, 0.0864)
Dy (0.4136, 0.5000, 0.0000)
Dy (0.5000, 0.0000, 0.4136)
Y (0.0000, 0.8107, 0.5000)
Y (0.5000, 0.0000, 0.8107)
Y (0.6893, 0.6893, 0.6893)
Y (0.8107, 0.5000, 0.0000)
Tm (0.1913, 0.7500, 0.9413)
Tm (0.2500, 0.5587, 0.3087)
Tm (0.3087, 0.2500, 0.5587)
Tm (0.5587, 0.3087, 0.2500)
Tm (0.7500, 0.9413, 0.1913)
Tm (0.9413, 0.1913, 0.7500)

Output
DOS(E_F) = 9.5 states/eV/f.u.
Symmetry = I2_13 (199)
Spin magnetization = 0.00 μB/atom

***

b) Below is a relaxed structure of Dy2Y2Tm3, with properties calculated at the PBE level.

Cell lengths 6.3868, 10.8299, 6.4707 Å; angles 90.00, 93.42, 90.00 degrees
Element x y z (fractional)
Dy (0.0548, 0.1505, 0.4594)
Dy (0.0548, 0.3495, 0.9594)
Dy (0.9452, 0.6505, 0.0406)
Dy (0.9452, 0.8495, 0.5406)
Y (0.3791, 0.7346, 0.7447)
Y (0.3791, 0.7654, 0.2447)
Y (0.6209, 0.2346, 0.7553)
Y (0.6209, 0.2654, 0.2553)
Tm (0.2469, 0.0440, 0.9605)
Tm (0.2469, 0.4560, 0.4605)
Tm (0.5000, 0.0000, 0.5000)
Tm (0.5000, 0.5000, 0.0000)
Tm (0.7531, 0.5440, 0.5395)
Tm (0.7531, 0.9560, 0.0395)

Output
DOS(E_F) = 11.6 states/eV/f.u.
Symmetry = P2_1/c (14)
Spin magnetization = 0.00 μB/atom

***

Stability, highest: b)